No. 1
{
  "formula": "Zr4CoRu",
  "functional": "PBE",
  "state": "relaxed",
  "lattice": [[0.000, 3.921, 3.921], [3.921, 0.000, 3.921], [3.921, 3.921, 0.000]],
  "species": ["Zr", "Zr", "Zr", "Zr", "Co", "Ru"],
  "fractional_positions": [[0.376, 0.376, 0.376], [0.376, 0.376, 0.873], [0.376, 0.873, 0.376], [0.873, 0.376, 0.376], [0.000, 0.000, 0.000], [0.750, 0.750, 0.750]],
  "magmom_total_mub_per_fu": 1.980,
  "mass_density_g_cm3": 7.23,
  "energy_ev_per_atom": -7.71,
  "e_form_mev_per_atom": 719,
  "polymorph_energy_mev_per_atom": 808
}

No. 2
{
  "formula": "KRbSr2Se",
  "functional": "PBE",
  "state": "relaxed",
  "lattice": [[6.144, 0.000, 0.000], [0.000, 6.144, 0.000], [0.000, 0.000, 7.141]],
  "species": ["K", "Rb", "Sr", "Sr", "Se"],
  "fractional_positions": [[0.000, 0.000, 0.000], [0.500, 0.500, 0.000], [0.000, 0.500, 0.500], [0.500, 0.000, 0.500], [0.000, 0.000, 0.500]],
  "magmom_total_mub_per_fu": 0.000,
  "mass_density_g_cm3": 2.33,
  "energy_ev_per_atom": -2.38
}